Computed, not measured: a relaxed KCaPHO4 crystal at the GGA-PBE level of DFT.

Results
For the electronic total energy, the calculation gives -191.572 eV per cell. The total magnetization comes out at 1.015 μB per formula unit.

Unit cell a=7.429 b=8.345 c=8.020 alpha=90.00 beta=95.80 gamma=90.00
Space group C2/m (No. 12)
Inequivalent atoms, fractional coordinates:
K 0.000 0.234 0.000
Ca 0.000 0.217 0.500
P 0.233 0.000 0.741
H 0.168 0.500 0.705
O 0.022 0.000 0.690
O 0.196 0.345 0.341
O 0.227 0.500 0.068